VASP calculation (GGA-PBE) on a relaxed CeTl2Ga crystal.

Cell: 4.620 4.620 4.801 Å, 90.00 90.00 90.00°
Fractional coordinates of all 4 atoms:
Ce 0.000 0.000 0.000
Tl 0.000 0.500 0.500
Tl 0.500 0.000 0.500
Ga 0.500 0.500 0.000

Results
calculated total energy	-3.70	eV/atom
Fermi-level density of states	6.59	states/eV/f.u.
symmetry	P4/mmm
total magnetic moment	0.9	μB per cell
DFT formation energy	-0.276	eV/atom
distance to the lowest polymorph of the same formula	0	meV/atom